Computed, not measured: a geometry-optimized Na2BiPb4 structure at the PBE level of DFT.

Summary:
The energy of formation from the pure elements is -0.016 eV per atom. The energy above the lowest structure with this stoichiometry is 0 meV/atom. Its total magnetization is 0.00 Bohr magnetons per cell. The density is 7.73 g/cm3.

Cell: 11.8193 6.6047 6.8181 Å, 118.97 90.00 90.00°
With the nearest neighbours (Å) after each atom.
Positions (direct):
1 Bi 0.0000 0.0000 0.0000  4 Pb 3.38-3.39, 4 Na 3.74
2 Bi 0.5000 0.5000 0.0000  4 Pb 3.38-3.39, 4 Na 3.74
3 Pb 0.7501 0.2506 0.0000  6 Pb 3.30-3.41, 2 Bi 3.38-3.39
4 Pb 0.2500 0.2491 0.5000  2 Na 3.20, 6 Pb 3.30-3.41
5 Pb 0.7500 0.7509 0.5000  2 Na 3.20, 6 Pb 3.30-3.41
6 Pb 0.7499 0.7506 0.0000  6 Pb 3.30-3.41, 2 Bi 3.38-3.39
7 Pb 0.2501 0.2494 0.0000  6 Pb 3.30-3.41, 2 Bi 3.38-3.39
8 Pb 0.2500 0.7491 0.5000  2 Na 3.20, 6 Pb 3.30-3.41
9 Pb 0.2499 0.7494 0.0000  6 Pb 3.30-3.41, 2 Bi 3.38-3.39
10 Pb 0.7500 0.2509 0.5000  2 Na 3.20, 6 Pb 3.30-3.41
11 Na 0.5000 0.8537 0.7074  2 Pb 3.20, 1 Na 3.49
12 Na 0.0000 0.3537 0.7074  2 Pb 3.20, 1 Na 3.49
13 Na 0.5000 0.1463 0.2926  2 Pb 3.20, 1 Na 3.49
14 Na 0.0000 0.6463 0.2926  2 Pb 3.20, 1 Na 3.49

=====

Computed, not measured: a geometry-optimized Na3Bi4Pb4 structure at the PBE level of DFT.

Summary:
The energy of formation from the pure elements is -0.123 eV per atom. The energy above the lowest structure with this stoichiometry is 0 meV/atom. Its total magnetization is 0.00 Bohr magnetons per cell. The density is 8.29 g/cm3.

Cell: 3.4820 5.4918 18.6482 Å, 81.96 79.66 90.20°
With the nearest neighbours (Å) after each atom.
Positions (direct):
1 Bi 0.5916 0.5563 0.9107  2 Pb 3.22-3.23, 3 Bi 3.25-3.48, 2 Na 3.56-3.59
2 Bi 0.8858 0.1860 0.6365  4 Pb 3.31-3.40, 2 Bi 3.48, 2 Na 3.57
3 Bi 0.1144 0.8140 0.3635  4 Pb 3.31-3.40, 2 Bi 3.48, 2 Na 3.57
4 Bi 0.4084 0.4436 0.0893  2 Pb 3.22-3.23, 3 Bi 3.25-3.48, 2 Na 3.56-3.59
5 Pb 0.6317 0.1007 0.8180  3 Bi 3.22-3.31, 2 Pb 3.48, 2 Na 3.59-3.60
6 Pb 0.7236 0.7294 0.5459  3 Bi 3.31-3.40, 5 Pb 3.48-3.71, 1 Na 3.52
7 Pb 0.3681 0.8995 0.1820  3 Bi 3.22-3.31, 2 Pb 3.48, 2 Na 3.59-3.60
8 Pb 0.2765 0.2707 0.4540  3 Bi 3.31-3.40, 5 Pb 3.48-3.71, 1 Na 3.52
9 Na 0.9999 0.9999 0.0001  2 Na 3.48, 8 Bi 3.56-3.70, 4 Pb 3.67-3.81
10 Na 0.7672 0.3578 0.2698  2 Na 3.48, 5 Pb 3.52-3.65, 6 Bi 3.57-3.79
11 Na 0.2329 0.6422 0.7302  2 Na 3.48, 5 Pb 3.52-3.66, 6 Bi 3.57-3.79

=====

Question: Which of these has the lowest energy of formation from the pure elements?
Answer: Na3Bi4Pb4

=====

Question: total magnetization of number 1 (Na2BiPb4)?
Answer: 0.00 Bohr magnetons per cell